Density functional theory data (GGA-PBE) for a relaxed RbSrRuBr2 crystal.

Unit cell a=6.0689 b=5.7630 c=6.0689 alpha=90.00 beta=90.00 gamma=90.00
Last column: nearest neighbours and their distance in Å.
Element x y z (fractional)
Rb: 0.5000 0.5000 0.5000  8 Br 4.18, 4 Ru 4.29
Br: 0.0000 0.0000 0.5000  2 Sr 3.03
Br: 0.5000 0.0000 0.0000  2 Sr 3.03
Ru: 0.0000 0.5000 0.0000  2 Sr 2.88
Sr: 0.0000 0.0000 0.0000  2 Ru 2.88, 4 Br 3.03

SG = P4/mmm, No. 123
E_form (uncorrected) = -0.275 eV per atom
magnetization = 3.0 μB/cell